# PBE Ce3Pm, optimized geometry
data_Ce3Pm
_chemical_formula_sum 'Ce6 Pm2'
_cell_length_a 3.390
_cell_length_b 11.427
_cell_length_c 5.986
_cell_angle_alpha 90.00
_cell_angle_beta 90.00
_cell_angle_gamma 90.00
_symmetry_space_group_name_H-M 'I m m 2'
_symmetry_Int_Tables_number 44
_symmetry_space_group_name_Hall 'I 2 -2'
loop_
_atom_site_label
_atom_site_type_symbol
_atom_site_fract_x
_atom_site_fract_y
_atom_site_fract_z
Ce1 Ce 0.000 0.000 0.000
Ce2 Ce 0.000 0.264 0.617
Pm1 Pm 0.000 0.500 0.009
# Volume, Å³/f.u.: 115.9
# Total moment, μB per formula unit: 0.4
# DOS(E_F), states/eV/f.u.: 11.752
# Final energy, Ry/atom: -0.4037
# Density, Mg/m³: 8.10